Version w
Density functional theory data (SCAN) for SrHg2Os at its PBEsol-relaxed geometry.

Structure (CIF):
```
data_SrHg2Os
_chemical_formula_sum 'Sr1 Hg2 Os1'
_symmetry_space_group_name_H-M 'P m m 2'
_symmetry_Int_Tables_number 25
_cell_length_a 3.565
_cell_length_b 3.575
_cell_length_c 7.248
_cell_angle_alpha 90.00
_cell_angle_beta 90.00
_cell_angle_gamma 90.00
loop_
_symmetry_equiv_pos_as_xyz
'x,y,z'
'-x,-y,z'
'-x,y,z'
'x,-y,z'
loop_
_atom_site_label
_atom_site_type_symbol
_atom_site_fract_x
_atom_site_fract_y
_atom_site_fract_z
Sr1 Sr 0.000 0.000 0.000
Hg1 Hg 0.000 0.000 0.570
Hg2 Hg 0.500 0.500 0.314
Os1 Os 0.500 0.500 0.707
```

=====

Version x
Density functional theory data (SCAN) for SrHg2Os at its PBEsol-relaxed geometry.

Structure (CIF):
```
data_SrHg2Os
_chemical_formula_sum 'Sr2 Hg4 Os2'
_symmetry_space_group_name_H-M 'C 1 m 1'
_symmetry_Int_Tables_number 8
_cell_length_a 14.298
_cell_length_b 3.173
_cell_length_c 4.470
_cell_angle_alpha 90.00
_cell_angle_beta 108.21
_cell_angle_gamma 90.00
loop_
_symmetry_equiv_pos_as_xyz
'x,y,z'
'x,-y,z'
'x+1/2,y+1/2,z'
'x+1/2,-y+1/2,z'
loop_
_atom_site_label
_atom_site_type_symbol
_atom_site_fract_x
_atom_site_fract_y
_atom_site_fract_z
Sr1 Sr 0.000 0.000 0.000
Hg1 Hg 0.187 0.000 0.688
Hg2 Hg 0.358 0.000 0.358
Os1 Os 0.190 0.500 0.191
```

=====

Version y
Density functional theory data (SCAN) for SrHg2Os at its PBEsol-relaxed geometry.

Structure (CIF):
```
data_SrHg2Os
_chemical_formula_sum 'Sr2 Hg4 Os2'
_symmetry_space_group_name_H-M 'C 1 2/m 1'
_symmetry_Int_Tables_number 12
_cell_length_a 6.081
_cell_length_b 9.885
_cell_length_c 3.007
_cell_angle_alpha 90.00
_cell_angle_beta 111.45
_cell_angle_gamma 90.00
loop_
_symmetry_equiv_pos_as_xyz
'x,y,z'
'-x,-y,-z'
'-x,y,-z'
'x,-y,z'
'x+1/2,y+1/2,z'
'-x+1/2,-y+1/2,-z'
'-x+1/2,y+1/2,-z'
'x+1/2,-y+1/2,z'
loop_
_atom_site_label
_atom_site_type_symbol
_atom_site_fract_x
_atom_site_fract_y
_atom_site_fract_z
Sr1 Sr 0.000 0.000 0.000
Hg1 Hg 0.250 0.250 0.500
Os1 Os 0.000 0.500 0.000
```

=====

Q: What are the energies relative to the best structure? A: version w 104; version x 0; version y 328, in meV/atom.

=====

Version w
Density functional theory data (SCAN) for TlHgOs2 at its PBEsol-relaxed geometry.

Structure (CIF):
```
data_TlHgOs2
_chemical_formula_sum 'Tl1 Hg1 Os2'
_symmetry_space_group_name_H-M 'P m m m'
_symmetry_Int_Tables_number 47
_cell_length_a 2.855
_cell_length_b 4.247
_cell_length_c 5.811
_cell_angle_alpha 90.00
_cell_angle_beta 90.00
_cell_angle_gamma 90.00
loop_
_symmetry_equiv_pos_as_xyz
'x,y,z'
'-x,-y,-z'
'-x,-y,z'
'x,y,-z'
'x,-y,-z'
'-x,y,z'
'-x,y,-z'
'x,-y,z'
loop_
_atom_site_label
_atom_site_type_symbol
_atom_site_fract_x
_atom_site_fract_y
_atom_site_fract_z
Tl1 Tl 0.000 0.000 0.000
Hg1 Hg 0.000 0.000 0.500
Os1 Os 0.500 0.500 0.283
```

=====

Version x
Density functional theory data (SCAN) for TlHgOs2 at its PBEsol-relaxed geometry.

Structure (CIF):
```
data_TlHgOs2
_chemical_formula_sum 'Tl2 Hg2 Os4'
_symmetry_space_group_name_H-M 'C m m m'
_symmetry_Int_Tables_number 65
_symmetry_space_group_name_Hall '-C 2 2'
_cell_length_a 5.859
_cell_length_b 7.894
_cell_length_c 2.941
_cell_angle_alpha 90.00
_cell_angle_beta 90.00
_cell_angle_gamma 90.00
loop_
_atom_site_label
_atom_site_type_symbol
_atom_site_fract_x
_atom_site_fract_y
_atom_site_fract_z
Tl1 Tl 0.000 0.000 0.000
Hg1 Hg 0.000 0.500 0.000
Os1 Os 0.250 0.250 0.500
```

=====

Q: What are the energies relative to the best structure? A: version w 13; version x 0, in meV/atom.

=====

Version w
Density functional theory data (SCAN) for TlHgOs2 at its PBEsol-relaxed geometry.

Structure (CIF):
```
data_TlHgOs2
_chemical_formula_sum 'Tl2 Hg2 Os4'
_symmetry_space_group_name_H-M 'I m m 2'
_symmetry_Int_Tables_number 44
_cell_length_a 2.834
_cell_length_b 4.696
_cell_length_c 11.243
_cell_angle_alpha 90.00
_cell_angle_beta 90.00
_cell_angle_gamma 90.00
loop_
_symmetry_equiv_pos_as_xyz
'x,y,z'
'-x,-y,z'
'-x,y,z'
'x,-y,z'
'x+1/2,y+1/2,z+1/2'
'-x+1/2,-y+1/2,z+1/2'
'-x+1/2,y+1/2,z+1/2'
'x+1/2,-y+1/2,z+1/2'
loop_
_atom_site_label
_atom_site_type_symbol
_atom_site_fract_x
_atom_site_fract_y
_atom_site_fract_z
Tl1 Tl 0.000 0.000 0.000
Hg1 Hg 0.000 0.500 0.802
Os1 Os 0.000 0.000 0.576
Os2 Os 0.000 0.500 0.258
```

=====

Version x
Density functional theory data (SCAN) for TlHgOs2 at its PBEsol-relaxed geometry.

Structure (CIF):
```
data_TlHgOs2
_chemical_formula_sum 'Tl2 Hg2 Os4'
_symmetry_space_group_name_H-M 'C 1 m 1'
_symmetry_Int_Tables_number 8
_cell_length_a 7.723
_cell_length_b 2.788
_cell_length_c 7.742
_cell_angle_alpha 90.00
_cell_angle_beta 100.05
_cell_angle_gamma 90.00
loop_
_symmetry_equiv_pos_as_xyz
'x,y,z'
'x,-y,z'
'x+1/2,y+1/2,z'
'x+1/2,-y+1/2,z'
loop_
_atom_site_label
_atom_site_type_symbol
_atom_site_fract_x
_atom_site_fract_y
_atom_site_fract_z
Tl1 Tl 0.000 0.000 0.000
Hg1 Hg 0.234 0.000 0.689
Os1 Os 0.003 0.500 0.418
Os2 Os 0.246 0.500 0.276
```

=====

Q: What are the energies relative to the best structure? A: version w 217; version x 0, in meV/atom.

=====

Version w
Density functional theory data (SCAN) for TlHg2Os at its PBEsol-relaxed geometry.

Structure (CIF):
```
data_TlHg2Os
_chemical_formula_sum 'Tl1 Hg2 Os1'
_symmetry_space_group_name_H-M 'P m m m'
_symmetry_Int_Tables_number 47
_cell_length_a 2.952
_cell_length_b 5.006
_cell_length_c 5.306
_cell_angle_alpha 90.00
_cell_angle_beta 90.00
_cell_angle_gamma 90.00
loop_
_symmetry_equiv_pos_as_xyz
'x,y,z'
'-x,-y,-z'
'-x,-y,z'
'x,y,-z'
'x,-y,-z'
'-x,y,z'
'-x,y,-z'
'x,-y,z'
loop_
_atom_site_label
_atom_site_type_symbol
_atom_site_fract_x
_atom_site_fract_y
_atom_site_fract_z
Tl1 Tl 0.000 0.000 0.000
Hg1 Hg 0.000 0.500 0.500
Hg2 Hg 0.500 0.000 0.500
Os1 Os 0.500 0.500 0.000
```

=====

Version x
Density functional theory data (SCAN) for TlHg2Os at its PBEsol-relaxed geometry.

Structure (CIF):
```
data_TlHg2Os
_chemical_formula_sum 'Tl1 Hg2 Os1'
_symmetry_space_group_name_H-M 'P 1 2/m 1'
_symmetry_Int_Tables_number 10
_cell_length_a 2.914
_cell_length_b 5.061
_cell_length_c 5.564
_cell_angle_alpha 90.00
_cell_angle_beta 102.63
_cell_angle_gamma 90.00
loop_
_symmetry_equiv_pos_as_xyz
'x,y,z'
'-x,-y,-z'
'-x,y,-z'
'x,-y,z'
loop_
_atom_site_label
_atom_site_type_symbol
_atom_site_fract_x
_atom_site_fract_y
_atom_site_fract_z
Tl1 Tl 0.000 0.000 0.000
Hg1 Hg 0.353 0.500 0.733
Os1 Os 0.000 0.000 0.500
```

=====

Q: What are the energies relative to the best structure? A: version w 8; version x 0, in meV/atom.